No. 1
VASP calculation (PBE) on a relaxed SbN crystal.

Size of the total moment = 0.000 μB per cell
Uncorrected formation energy = 1.096 eV per formula unit
Space group = Amm2 (38)
Offset from the most stable computed form = 0.203 eV per atom

extended XYZ file:
```
12
Lattice="-2.8072 -0.9524 -1.6761 0.0769 -7.8004 4.3035 -4.8751 3.3930 6.2372" Properties=species:S:1:pos:R:3 pbc="T T T"
N -4.7102 -0.5952 8.2272
N -2.3111 1.6085 2.9568
N -4.0011 -4.5684 5.8378
N -1.6020 -2.3647 0.5674
N -1.5653 -6.0838 2.6192
N -4.0414 -0.4871 3.5861
Sb -4.3826 1.0064 6.7684
Sb -4.4848 1.6683 3.1040
Sb -2.0087 -3.9284 2.1372
Sb -4.3462 -2.6781 8.8011
Sb -1.9066 -4.5903 5.8015
Sb -1.9471 -0.4744 3.5308
```

=====

No. 2
VASP calculation (PBE) on a relaxed Ca2MgI crystal.

Size of the total moment = 0.000 μB per cell
Uncorrected formation energy = -1.150 eV per formula unit
Space group = I-42d (122)
Offset from the most stable computed form = 0.201 eV per atom

extended XYZ file:
```
8
Lattice="-1.9135 -0.6955 8.5646 6.3898 -5.9817 0.9418 4.7541 -0.5266 5.5437" Properties=species:S:1:pos:R:3 pbc="T T T"
Ca 0.7705 -1.3216 6.9498
Ca 7.5519 -6.3027 12.4862
Ca 4.9638 -3.9496 2.9519
Ca 5.1746 -2.8338 7.7124
Mg 2.2382 -3.3386 4.7532
Mg 6.6910 -4.9235 5.6194
I 2.5394 -2.2804 9.4308
I 0.0000 0.0000 0.0000
```

=====

No. 3
VASP calculation (PBE) on a relaxed SmYSn crystal.

Size of the total moment = 0.000 μB per cell
Energy relative to the elements = -0.266 eV/atom
Space group = P4/nmm (129)
Offset from the most stable computed form = 0.335 eV per atom

extended XYZ file:
```
6
Lattice="4.9697 0.0000 0.0000 0.0000 4.9697 0.0000 0.0000 0.0000 7.6359" Properties=species:S:1:pos:R:3 pbc="T T T"
Sn 0.0000 0.0000 0.0000
Sn 2.4849 2.4849 0.0000
Y 2.4849 0.0000 2.0037
Y 0.0000 2.4849 5.6322
Sm 0.0000 2.4849 2.1062
Sm 2.4849 0.0000 5.5297
```

=====

No. 4
VASP calculation (PBE) on a relaxed NaHfZn3 crystal.

Size of the total moment = 0.000 μB per cell
Energy relative to the elements = 0.853 eV/atom
Space group = Pm-3m (221)
Offset from the most stable computed form = 0.179 eV per atom

extended XYZ file:
```
5
Lattice="4.6008 0.0000 0.0000 0.0000 4.6008 0.0000 0.0000 0.0000 4.6008" Properties=species:S:1:pos:R:3 pbc="T T T"
Zn 0.0000 0.0000 2.3004
Zn 0.0000 2.3004 0.0000
Zn 2.3004 0.0000 0.0000
Na 0.0000 0.0000 0.0000
Hf 2.3004 2.3004 2.3004
```

=====

No. 5
VASP calculation (PBE) on a relaxed InOs4 crystal.

Size of the total moment = 2.113 μB per cell
Energy relative to the elements = 2.444 eV/atom
Space group = Im-3m (229)
Offset from the most stable computed form = 0.000 eV per atom

extended XYZ file:
```
5
Lattice="3.2030 -3.1205 -2.2898 -0.4167 -1.2828 4.8395 -4.5027 -0.3059 -2.2073" Properties=species:S:1:pos:R:3 pbc="T T T"
Os -0.8582 -2.3546 0.1712
Os -2.2513 -0.1529 -1.1036
Os 1.6015 -1.5603 -1.1449
Os -0.2084 -0.6414 2.4197
In 0.0000 0.0000 0.0000
```

=====

No. 6
VASP calculation (PBE) on a relaxed SrLa2YTe crystal.

Size of the total moment = 0.002 μB per cell
Uncorrected formation energy = -0.684 eV per formula unit
Space group = P4/mmm (123)

extended XYZ file:
```
5
Lattice="6.0697 0.0000 0.0000 0.0000 6.0880 0.0000 0.0000 0.0000 6.0697" Properties=species:S:1:pos:R:3 pbc="T T T"
Sr 0.0000 3.0440 0.0000
La 0.0000 0.0000 3.0348
La 3.0348 0.0000 0.0000
Te 0.0000 0.0000 0.0000
Y 3.0348 3.0440 3.0348
```

=====

No. 7
VASP calculation (PBE) on a relaxed Pm2Y3PuSe6 crystal.

Size of the total moment = 6.012 μB per cell
Uncorrected formation energy = -21.239 eV per formula unit
Space group = C2/m (12)

extended XYZ file:
```
12
Lattice="-1.6190 3.5431 -1.3022 -7.5303 -3.5203 -0.2161 1.3734 1.5605 9.0163" Properties=species:S:1:pos:R:3 pbc="T T T"
Se -6.5702 -1.0318 5.3615
Se -5.0606 0.7963 1.9809
Se -2.1451 4.1989 7.6141
Se -1.2056 2.6151 2.1366
Se -5.6308 -2.6156 -0.1161
Se -2.7153 0.7870 5.5172
Y -6.1043 -1.8280 2.6157
Y -4.5746 0.0114 -0.7591
Y -1.6716 3.4113 4.8823
Pm -2.3077 -0.0638 2.6956
Pm -5.4682 1.6471 4.8024
Pu -0.8095 1.7715 -0.6511
```

=====

No. 8
VASP calculation (PBE) on a relaxed Sc2InSe crystal.

Size of the total moment = 0.002 μB per cell
Uncorrected formation energy = -2.531 eV per formula unit
Space group = Pmmm (47)
Offset from the most stable computed form = 0.355 eV per atom

extended XYZ file:
```
4
Lattice="-2.8818 -3.5586 1.3116 3.2391 -1.1022 4.1264 -1.7844 2.1754 1.9817" Properties=species:S:1:pos:R:3 pbc="T T T"
Sc 0.0000 0.0000 0.0000
Sc 0.1787 -2.3304 2.7190
In 0.7274 0.5366 3.0541
Se -2.3331 -0.6916 1.6467
```

=====

No. 9
VASP calculation (PBE) on a relaxed SnIr2I crystal.

Size of the total moment = 0.000 μB per cell
Uncorrected formation energy = 2.730 eV per formula unit
Space group = I-42d (122)
Offset from the most stable computed form = 0.000 eV per atom

extended XYZ file:
```
8
Lattice="5.5821 0.0000 0.0000 0.0000 5.5821 0.0000 2.7910 2.7910 6.6740" Properties=species:S:1:pos:R:3 pbc="T T T"
Ir 4.2549 1.3955 1.6685
Ir 1.3272 4.1866 1.6685
Ir 6.9776 7.0460 5.0055
Ir 4.1866 4.1182 5.0055
I 5.5821 2.7910 3.3370
I 0.0000 0.0000 0.0000
Sn 2.7910 2.7910 0.0000
Sn 2.7910 5.5821 3.3370
```

=====

No. 10
VASP calculation (PBE) on a relaxed BeBP crystal.

Size of the total moment = 0.000 μB per cell
Energy relative to the elements = 0.018 eV/atom
Space group = P1 (1)
Offset from the most stable computed form = 0.016 eV per atom

extended XYZ file:
```
6
Lattice="3.1437 0.0032 0.0010 -0.1579 3.9543 0.0007 -1.1117 -0.2268 5.9280" Properties=species:S:1:pos:R:3 pbc="T T T"
Be -0.7826 1.0770 5.3790
Be -0.1602 3.2876 2.6110
P -0.1597 3.0942 4.8063
P -0.0339 1.3934 1.5910
B 1.5735 -0.1391 3.8896
B 1.5450 0.6785 2.4844
```

=====

No. 11
VASP calculation (PBE) on a relaxed KZrW2N6 crystal.

Size of the total moment = 2.081 μB per cell
Uncorrected formation energy = -4.234 eV per formula unit
Space group = C2/c (15)

extended XYZ file:
```
20
Lattice="6.5297 -0.0640 -0.0665 2.0205 7.5871 -0.9439 2.0205 -1.2245 7.5469" Properties=species:S:1:pos:R:3 pbc="T T T"
Zr 3.6529 0.5531 5.8020
Zr 6.9178 5.7455 0.7346
N 5.3130 5.4939 2.0022
N 6.2576 3.6622 4.2948
N 5.2577 0.8047 4.5344
N 1.9928 4.5335 1.0054
N 2.9927 4.1881 3.8521
N 2.3910 1.7794 0.1827
N 4.3132 2.6364 2.2418
N 4.9149 6.2141 4.7848
N 7.5780 2.1105 2.6844
N 5.6558 0.0846 1.7517
N 8.5779 1.7651 5.5311
N 8.1798 4.5192 6.3539
W 5.7135 1.5140 2.9088
W 8.1220 3.4159 4.8826
W 4.8572 4.7847 3.6278
W 2.4487 2.8827 1.6540
K 6.9178 -0.3378 6.5964
K 3.6529 6.6364 -0.0598
```

=====

No. 12
VASP calculation (PBE) on a relaxed BaY2Cu crystal.

Size of the total moment = 0.000 μB per cell
Energy relative to the elements = 0.425 eV/atom
Space group = Cmmm (65)
Offset from the most stable computed form = 0.387 eV per atom

extended XYZ file:
```
4
Lattice="-4.6420 2.4486 -1.6960 0.1193 -4.2381 -3.5277 -2.0847 -2.1837 2.5530" Properties=species:S:1:pos:R:3 pbc="T T T"
Y -2.2613 -0.8947 -2.6119
Y 0.0000 0.0000 0.0000
Ba -3.3633 0.1324 0.4285
Cu -0.9827 -3.2109 -0.4874
```